1.
# PBE Ba2SbO, optimized geometry
data_Ba2SbO
_cell_length_a 9.2714
_cell_length_b 11.7861
_cell_length_c 4.9825
_cell_angle_alpha 90.00
_cell_angle_beta 90.00
_cell_angle_gamma 90.00
_space_group_name_H-M_alt 'P 1'
_space_group_IT_number 1
_space_group_name_Hall 'P 1'
loop_
_atom_site_label
_atom_site_type_symbol
_atom_site_fract_x
_atom_site_fract_y
_atom_site_fract_z
Ba1 Ba 0.0000 0.0000 0.0000
Ba2 Ba 0.0000 0.5000 0.5000
Ba3 Ba 0.2500 0.2500 0.0000
Ba4 Ba 0.2500 0.7500 0.0000
Ba5 Ba 0.5000 0.0000 0.5000
Ba6 Ba 0.5000 0.5000 0.0000
Ba7 Ba 0.7500 0.2500 0.0000
Ba8 Ba 0.7500 0.7500 0.0000
Sb1 Sb 0.0000 0.2074 0.5000
Sb2 Sb 0.0000 0.7926 0.5000
Sb3 Sb 0.5000 0.2926 0.5000
Sb4 Sb 0.5000 0.7074 0.5000
O1 O 0.2122 0.5000 0.0000
O2 O 0.2878 0.0000 0.0000
O3 O 0.7122 0.0000 0.0000
O4 O 0.7878 0.5000 0.0000
# - offset from the most stable computed form (meV/atom) = 273.3
# - raw formation energy (eV per atom) = -1.293
# - calculated volume (Å³/cell) = 544

---

2.
# PBE TaAg3I, optimized geometry
data_TaAg3I
_cell_length_a 5.2855
_cell_length_b 5.2855
_cell_length_c 5.2855
_cell_angle_alpha 90.00
_cell_angle_beta 90.00
_cell_angle_gamma 90.00
_space_group_name_H-M_alt 'P 1'
_space_group_IT_number 1
_space_group_name_Hall 'P 1'
loop_
_atom_site_label
_atom_site_type_symbol
_atom_site_fract_x
_atom_site_fract_y
_atom_site_fract_z
Ta1 Ta 0.0000 0.0000 0.0000
Ag1 Ag 0.0000 0.0000 0.5000
Ag2 Ag 0.0000 0.5000 0.0000
Ag3 Ag 0.5000 0.0000 0.0000
I1 I 0.5000 0.5000 0.5000
# - offset from the most stable computed form (meV/atom) = 0.0
# - raw formation energy (eV per atom) = 1.352
# - calculated volume (Å³/cell) = 148

---

3.
# PBE MnZn2Cu6, optimized geometry
data_MnZn2Cu6
_cell_length_a 7.3745
_cell_length_b 7.3745
_cell_length_c 4.4907
_cell_angle_alpha 96.75
_cell_angle_beta 96.75
_cell_angle_gamma 72.58
_space_group_name_H-M_alt 'P 1'
_space_group_IT_number 1
_space_group_name_Hall 'P 1'
loop_
_atom_site_label
_atom_site_type_symbol
_atom_site_fract_x
_atom_site_fract_y
_atom_site_fract_z
Mn1 Mn 0.1242 0.8758 0.7500
Mn2 Mn 0.8758 0.1242 0.2500
Zn1 Zn 0.2042 0.4655 0.9108
Zn2 Zn 0.4655 0.2042 0.4108
Zn3 Zn 0.5345 0.7958 0.5892
Zn4 Zn 0.7958 0.5345 0.0892
Cu1 Cu 0.0128 0.7628 0.2022
Cu2 Cu 0.1015 0.3467 0.3607
Cu3 Cu 0.2372 0.9872 0.2978
Cu4 Cu 0.3211 0.5676 0.4676
Cu5 Cu 0.3467 0.1015 0.8607
Cu6 Cu 0.4324 0.6789 0.0324
Cu7 Cu 0.5676 0.3211 0.9676
Cu8 Cu 0.6533 0.8985 0.1393
Cu9 Cu 0.6789 0.4324 0.5324
Cu10 Cu 0.7628 0.0128 0.7022
Cu11 Cu 0.8985 0.6533 0.6393
Cu12 Cu 0.9872 0.2372 0.7978
# - offset from the most stable computed form (meV/atom) = 30.5
# - formation enthalpy at 0 K (eV per atom) = 0.02
# - calculated volume (Å³/cell) = 231

---

4.
# PBE AcMg3Al2, optimized geometry
data_AcMg3Al2
_cell_length_a 8.8025
_cell_length_b 8.8025
_cell_length_c 8.5772
_cell_angle_alpha 115.07
_cell_angle_beta 115.07
_cell_angle_gamma 30.50
_space_group_name_H-M_alt 'P 1'
_space_group_IT_number 1
_space_group_name_Hall 'P 1'
loop_
_atom_site_label
_atom_site_type_symbol
_atom_site_fract_x
_atom_site_fract_y
_atom_site_fract_z
Ac1 Ac 0.1473 0.1473 0.0679
Ac2 Ac 0.8527 0.8527 0.9321
Mg1 Mg 0.0411 0.0411 0.3695
Mg2 Mg 0.3149 0.3149 0.5439
Mg3 Mg 0.4013 0.4013 0.3049
Mg4 Mg 0.5987 0.5987 0.6951
Mg5 Mg 0.6851 0.6851 0.4561
Mg6 Mg 0.9589 0.9589 0.6305
Al1 Al 0.1968 0.1968 0.7037
Al2 Al 0.4805 0.4805 0.8389
Al3 Al 0.5195 0.5195 0.1611
Al4 Al 0.8032 0.8032 0.2963
# - formation enthalpy at 0 K (eV per atom) = -0.18
# - calculated volume (Å³/cell) = 303

---

5.
# PBE BaLiW, optimized geometry
data_BaLiW
_cell_length_a 7.1699
_cell_length_b 7.1699
_cell_length_c 7.1699
_cell_angle_alpha 90.00
_cell_angle_beta 90.00
_cell_angle_gamma 90.00
_space_group_name_H-M_alt 'P 1'
_space_group_IT_number 1
_space_group_name_Hall 'P 1'
loop_
_atom_site_label
_atom_site_type_symbol
_atom_site_fract_x
_atom_site_fract_y
_atom_site_fract_z
Ba1 Ba 0.0000 0.0000 0.0000
Ba2 Ba 0.0000 0.5000 0.5000
Ba3 Ba 0.5000 0.0000 0.5000
Ba4 Ba 0.5000 0.5000 0.0000
Li1 Li 0.2500 0.2500 0.7500
Li2 Li 0.2500 0.7500 0.2500
Li3 Li 0.7500 0.2500 0.2500
Li4 Li 0.7500 0.7500 0.7500
W1 W 0.0000 0.0000 0.5000
W2 W 0.0000 0.5000 0.0000
W3 W 0.5000 0.0000 0.0000
W4 W 0.5000 0.5000 0.5000
# - offset from the most stable computed form (meV/atom) = 572.3
# - formation enthalpy at 0 K (eV per atom) = 1.66
# - calculated volume (Å³/cell) = 369

---

6.
# PBE Nd3Cu2Si3, optimized geometry
data_Nd3Cu2Si3
_cell_length_a 5.8228
_cell_length_b 5.8228
_cell_length_c 15.1916
_cell_angle_alpha 90.00
_cell_angle_beta 90.00
_cell_angle_gamma 138.26
_space_group_name_H-M_alt 'P 1'
_space_group_IT_number 1
_space_group_name_Hall 'P 1'
loop_
_atom_site_label
_atom_site_type_symbol
_atom_site_fract_x
_atom_site_fract_y
_atom_site_fract_z
Nd1 Nd 0.0637 0.9363 0.7500
Nd2 Nd 0.3566 0.6434 0.5940
Nd3 Nd 0.3566 0.6434 0.9060
Nd4 Nd 0.6434 0.3566 0.0940
Nd5 Nd 0.6434 0.3566 0.4060
Nd6 Nd 0.9363 0.0637 0.2500
Cu1 Cu 0.3533 0.6467 0.1169
Cu2 Cu 0.3533 0.6467 0.3831
Cu3 Cu 0.6467 0.3533 0.6169
Cu4 Cu 0.6467 0.3533 0.8831
Si1 Si 0.0776 0.9224 0.5549
Si2 Si 0.0776 0.9224 0.9451
Si3 Si 0.2200 0.7800 0.2500
Si4 Si 0.7800 0.2200 0.7500
Si5 Si 0.9224 0.0776 0.0549
Si6 Si 0.9224 0.0776 0.4451
# - raw formation energy (eV per atom) = -0.614
# - calculated volume (Å³/cell) = 343

---

7.
# PBE Ta2PIr, optimized geometry
data_Ta2PIr
_cell_length_a 2.8703
_cell_length_b 2.8703
_cell_length_c 7.6311
_cell_angle_alpha 90.00
_cell_angle_beta 90.00
_cell_angle_gamma 90.00
_space_group_name_H-M_alt 'P 1'
_space_group_IT_number 1
_space_group_name_Hall 'P 1'
loop_
_atom_site_label
_atom_site_type_symbol
_atom_site_fract_x
_atom_site_fract_y
_atom_site_fract_z
Ta1 Ta 0.0000 0.0000 0.0000
Ta2 Ta 0.5000 0.5000 0.3002
P1 P 0.5000 0.5000 0.7696
Ir1 Ir 0.0000 0.0000 0.5770
# - formation enthalpy at 0 K (eV per atom) = -0.23
# - calculated volume (Å³/cell) = 63

---

8.
# PBE Te3Mo, optimized geometry
data_Te3Mo
_cell_length_a 10.5593
_cell_length_b 10.5593
_cell_length_c 3.2174
_cell_angle_alpha 90.00
_cell_angle_beta 90.00
_cell_angle_gamma 120.00
_space_group_name_H-M_alt 'P 1'
_space_group_IT_number 1
_space_group_name_Hall 'P 1'
loop_
_atom_site_label
_atom_site_type_symbol
_atom_site_fract_x
_atom_site_fract_y
_atom_site_fract_z
Te1 Te 0.2143 0.4286 0.2500
Te2 Te 0.2143 0.7857 0.2500
Te3 Te 0.4286 0.2143 0.7500
Te4 Te 0.5714 0.7857 0.2500
Te5 Te 0.7857 0.2143 0.7500
Te6 Te 0.7857 0.5714 0.7500
Mo1 Mo 0.3333 0.6667 0.7500
Mo2 Mo 0.6667 0.3333 0.2500
# - raw formation energy (eV per atom) = -0.008
# - calculated volume (Å³/cell) = 311

---

9.
# PBE Li2AlH6, optimized geometry
data_Li2AlH6
_cell_length_a 4.7654
_cell_length_b 4.9911
_cell_length_c 7.3210
_cell_angle_alpha 90.00
_cell_angle_beta 119.31
_cell_angle_gamma 90.00
_space_group_name_H-M_alt 'P 1'
_space_group_IT_number 1
_space_group_name_Hall 'P 1'
loop_
_atom_site_label
_atom_site_type_symbol
_atom_site_fract_x
_atom_site_fract_y
_atom_site_fract_z
Li1 Li 0.1801 0.0829 0.2275
Li2 Li 0.1801 0.4171 0.7275
Li3 Li 0.8199 0.5829 0.2725
Li4 Li 0.8199 0.9171 0.7725
Al1 Al 0.5000 0.0000 0.0000
Al2 Al 0.5000 0.5000 0.5000
H1 H 0.1561 0.1954 0.9470
H2 H 0.1561 0.3046 0.4470
H3 H 0.2262 0.7353 0.8837
H4 H 0.2262 0.7647 0.3837
H5 H 0.4485 0.0976 0.7642
H6 H 0.4485 0.4024 0.2642
H7 H 0.5515 0.5976 0.7358
H8 H 0.5515 0.9024 0.2358
H9 H 0.7738 0.2353 0.6163
H10 H 0.7738 0.2647 0.1163
H11 H 0.8439 0.6954 0.5530
H12 H 0.8439 0.8046 0.0530
# - offset from the most stable computed form (meV/atom) = 0.0
# - calculated volume (Å³/cell) = 152

---

10.
# PBE MgNiMo, optimized geometry
data_MgNiMo
_cell_length_a 3.0504
_cell_length_b 4.3010
_cell_length_c 7.0470
_cell_angle_alpha 90.00
_cell_angle_beta 102.43
_cell_angle_gamma 90.00
_space_group_name_H-M_alt 'P 1'
_space_group_IT_number 1
_space_group_name_Hall 'P 1'
loop_
_atom_site_label
_atom_site_type_symbol
_atom_site_fract_x
_atom_site_fract_y
_atom_site_fract_z
Mg1 Mg 0.0741 0.2500 0.1480
Mg2 Mg 0.9259 0.7500 0.8520
Ni1 Ni 0.4047 0.2500 0.8087
Ni2 Ni 0.5953 0.7500 0.1913
Mo1 Mo 0.2406 0.7500 0.4814
Mo2 Mo 0.7594 0.2500 0.5186
# - offset from the most stable computed form (meV/atom) = 0.0
# - formation enthalpy at 0 K (eV per atom) = 0.01
# - calculated volume (Å³/cell) = 90

---

11.
# PBE KPuFeN3, optimized geometry
data_KPuFeN3
_cell_length_a 7.7515
_cell_length_b 3.4278
_cell_length_c 8.0027
_cell_angle_alpha 90.00
_cell_angle_beta 105.32
_cell_angle_gamma 90.00
_space_group_name_H-M_alt 'P 1'
_space_group_IT_number 1
_space_group_name_Hall 'P 1'
loop_
_atom_site_label
_atom_site_type_symbol
_atom_site_fract_x
_atom_site_fract_y
_atom_site_fract_z
K1 K 0.1944 0.2500 0.2153
K2 K 0.8056 0.7500 0.7847
Pu1 Pu 0.3429 0.7500 0.8410
Pu2 Pu 0.6571 0.2500 0.1590
Fe1 Fe 0.0713 0.2500 0.5975
Fe2 Fe 0.9287 0.7500 0.4025
N1 N 0.1534 0.7500 0.5504
N2 N 0.1610 0.2500 0.8344
N3 N 0.4735 0.7500 0.1284
N4 N 0.5265 0.2500 0.8716
N5 N 0.8390 0.7500 0.1656
N6 N 0.8466 0.2500 0.4496
# - raw formation energy (eV per atom) = -0.518
# - calculated volume (Å³/cell) = 205

---

| no. | DOS at the Fermi energy (states/eV/cell) |
| --- | --- |
| 1 | 22.0 |
| 2 | 5.3 |
| 3 | 6.5 |
| 4 | 4.5 |
| 5 | 11.3 |
| 6 | 11.4 |
| 7 | 1.9 |
| 8 | 4.2 |
| 9 | 3.8 |
| 10 | 4.0 |
| 11 | 15.7 |